## Mg6Zn2Ag (PBE-GGA)

Data for a geometry-optimized Mg6Zn2Ag structure.

Output
Energy relative to the elements ... -7.0 kJ/mol of atoms
Magnetization ... 0.00 μB/f.u.
Space group ... P-3m1, No. 164

a b c (Å): 4.8139 4.8137 8.8021
angles (deg): 90.00 90.00 120.00
Fractional coordinates of all 9 atoms:
1 Mg 0.6667 0.3334 0.9498
2 Mg 0.3333 0.6666 0.0502
3 Mg 0.0000 0.9999 0.1823
4 Mg 0.3333 0.6666 0.4007
5 Mg 0.0000 0.0001 0.8177
6 Mg 0.6667 0.3334 0.5993
7 Zn 0.3334 0.6667 0.7303
8 Zn 0.6666 0.3333 0.2697
9 Ag 0.0000 0.0000 0.5000

---

## Mg3ZnAg (PBE-GGA)

Data for a geometry-optimized Mg3ZnAg structure.

Output
Energy relative to the elements ... -11.6 kJ/mol of atoms
Magnetization ... 0.00 μB/f.u.
Space group ... P2_1/m, No. 11

a b c (Å): 4.6290 4.6212 9.2342
angles (deg): 90.00 75.61 90.00
Fractional coordinates of all 10 atoms:
1 Mg 0.1455 0.3444 0.4278
2 Mg 0.9546 0.3443 0.8074
3 Mg 0.6452 0.8444 0.4291
4 Mg 0.7659 0.3443 0.1855
5 Mg 0.2654 0.8444 0.1868
6 Mg 0.4562 0.8444 0.8072
7 Zn 0.8611 0.8443 0.9980
8 Zn 0.5501 0.3444 0.6165
9 Ag 0.3590 0.3445 0.9995
10 Ag 0.0525 0.8444 0.6150

---

## Mg2Zn9Ag (PBE-GGA)

Data for a geometry-optimized Mg2Zn9Ag structure.

Output
Energy relative to the elements ... -2.3 kJ/mol of atoms
Magnetization ... 0.00 μB/f.u.
Space group ... P4/mbm, No. 127

a b c (Å): 5.1085 8.7966 8.7966
angles (deg): 90.00 90.00 90.00
Fractional coordinates of all 24 atoms:
1 Mg 0.0000 0.6223 0.1223
2 Mg 0.0000 0.3777 0.8777
3 Mg 0.0000 0.1223 0.3777
4 Mg 0.0000 0.8777 0.6223
5 Zn 0.5000 0.5000 0.0000
6 Zn 0.5000 0.0000 0.5000
7 Zn 0.5000 0.6985 0.5613
8 Zn 0.5000 0.3015 0.4387
9 Zn 0.5000 0.1985 0.9387
10 Zn 0.5000 0.8015 0.0613
11 Zn 0.5000 0.4387 0.6985
12 Zn 0.5000 0.5613 0.3015
13 Zn 0.5000 0.0613 0.1985
14 Zn 0.5000 0.9387 0.8015
15 Zn 0.7602 0.8225 0.3225
16 Zn 0.7602 0.1775 0.6775
17 Zn 0.7602 0.3225 0.1775
18 Zn 0.7602 0.6775 0.8225
19 Zn 0.2398 0.1775 0.6775
20 Zn 0.2398 0.8225 0.3225
21 Zn 0.2398 0.6775 0.8225
22 Zn 0.2398 0.3225 0.1775
23 Ag 0.0000 0.5000 0.5000
24 Ag 0.0000 0.0000 0.0000

---

## Mg4ZnAg (PBE-GGA)

Data for a geometry-optimized Mg4ZnAg structure.

Output
Energy relative to the elements ... 17.7 kJ/mol of atoms
Magnetization ... 0.00 μB/f.u.
Space group ... F-43m, No. 216

a b c (Å): 5.6435 5.6435 5.6435
angles (deg): 60.00 60.00 60.00
Fractional coordinates of all 6 atoms:
1 Mg 0.8751 0.3750 0.3750
2 Mg 0.3750 0.3750 0.8751
3 Mg 0.3750 0.8751 0.3750
4 Mg 0.3750 0.3750 0.3750
5 Zn 0.7500 0.7500 0.7500
6 Ag 0.0000 0.0000 0.0000

---

## MgZn3Ag6 (PBE-GGA)

Data for a geometry-optimized MgZn3Ag6 structure.

Output
Energy relative to the elements ... 2.7 kJ/mol of atoms
Magnetization ... 0.00 μB/f.u.
Space group ... Cmc2_1, No. 36

a b c (Å): 5.8677 8.1126 8.1126
angles (deg): 109.08 90.00 90.00
Fractional coordinates of all 20 atoms:
1 Mg 0.0931 0.1817 0.8183
2 Mg 0.5931 0.8183 0.1817
3 Zn 0.4806 0.9055 0.7146
4 Zn 0.9806 0.7146 0.9055
5 Zn 0.2171 0.3960 0.6040
6 Zn 0.7171 0.6040 0.3960
7 Zn 0.9806 0.0945 0.2854
8 Zn 0.4806 0.2854 0.0945
9 Ag 0.1120 0.7174 0.5981
10 Ag 0.6120 0.5981 0.7174
11 Ag 0.3108 0.5207 0.9628
12 Ag 0.8108 0.9628 0.5207
13 Ag 0.2763 0.9733 0.0267
14 Ag 0.5920 0.2483 0.7517
15 Ag 0.0920 0.7517 0.2483
16 Ag 0.7763 0.0267 0.9733
17 Ag 0.3108 0.0372 0.4793
18 Ag 0.8108 0.4793 0.0372
19 Ag 0.1120 0.4019 0.2826
20 Ag 0.6120 0.2826 0.4019

---

## MgZn10Ag2 (PBE-GGA)

Data for a geometry-optimized MgZn10Ag2 structure.

Output
Energy relative to the elements ... 0.3 kJ/mol of atoms
Magnetization ... 0.00 μB/f.u.
Space group ... Fmmm, No. 69

a b c (Å): 5.5033 6.7169 6.9484
angles (deg): 80.66 66.67 65.82
Fractional coordinates of all 13 atoms:
1 Mg 0.0000 0.0000 0.0000
2 Zn 0.3513 0.6511 0.6463
3 Zn 0.6487 0.3489 0.3537
4 Zn 0.0024 0.3489 0.6463
5 Zn 0.9976 0.6511 0.3537
6 Zn 0.0000 0.0000 0.5000
7 Zn 0.5000 0.0000 0.5000
8 Zn 0.2801 0.2131 0.2267
9 Zn 0.7199 0.7869 0.7733
10 Zn 0.4932 0.7869 0.2267
11 Zn 0.5068 0.2131 0.7733
12 Ag 0.0000 0.5000 0.0000
13 Ag 0.5000 0.5000 0.0000

---

## MgZn2Ag (PBE-GGA)

Data for a geometry-optimized MgZn2Ag structure.

Output
Energy relative to the elements ... -6.0 kJ/mol of atoms
Magnetization ... 0.00 μB/f.u.
Space group ... P4/mmm, No. 123

a b c (Å): 3.3516 3.3516 6.0160
angles (deg): 90.00 90.00 89.99
Fractional coordinates of all 4 atoms:
1 Zn 0.0000 0.0000 0.0097
2 Zn 0.0000 0.0000 0.4903
3 Mg 0.5000 0.5000 0.7500
4 Ag 0.5000 0.5000 0.2500

---

## Mg2ZnAg (PBE-GGA)

Data for a geometry-optimized Mg2ZnAg structure.

Output
Energy relative to the elements ... 20.4 kJ/mol of atoms
Magnetization ... 0.00 μB/f.u.
Space group ... Immm, No. 71

a b c (Å): 6.4783 6.4783 6.4783
angles (deg): 53.25 154.15 134.29
Fractional coordinates of all 4 atoms:
1 Mg 0.0000 0.2573 0.2573
2 Mg 0.0000 0.7427 0.7427
3 Zn 0.0000 0.0000 0.0000
4 Ag 0.0000 0.5000 0.5000

---

## Mg3Zn2Ag (PBE-GGA)

Data for a geometry-optimized Mg3Zn2Ag structure.

Output
Energy relative to the elements ... -12.9 kJ/mol of atoms
Magnetization ... 0.00 μB/f.u.
Space group ... P4/mmm, No. 123

a b c (Å): 3.3506 3.3506 9.7032
angles (deg): 90.00 90.00 90.00
Fractional coordinates of all 6 atoms:
1 Mg 0.0000 0.0000 0.0000
2 Mg 0.0000 0.0000 0.6708
3 Mg 0.0000 0.0000 0.3292
4 Zn 0.5000 0.5000 0.8385
5 Zn 0.5000 0.5000 0.1615
6 Ag 0.5000 0.5000 0.5000

---

## MgZnAg2 (PBE-GGA)

Data for a geometry-optimized MgZnAg2 structure.

Output
Energy relative to the elements ... -0.4 kJ/mol of atoms
Magnetization ... 0.00 μB/f.u.
Space group ... R3m, No. 160

a b c (Å): 9.5028 9.5028 9.5028
angles (deg): 18.05 18.05 18.05
Fractional coordinates of all 4 atoms:
1 Ag 0.0023 0.0023 0.0023
2 Ag 0.2498 0.2498 0.2498
3 Mg 0.5007 0.5007 0.5007
4 Zn 0.7471 0.7471 0.7471

---

## Mg4Zn3Ag (PBE-GGA)

Data for a geometry-optimized Mg4Zn3Ag structure.

Output
Energy relative to the elements ... -11.3 kJ/mol of atoms
Magnetization ... 0.00 μB/f.u.
Space group ... R-3m, No. 166

a b c (Å): 4.6928 4.6928 8.0530
angles (deg): 73.06 73.06 60.00
Fractional coordinates of all 8 atoms:
1 Mg 0.8743 0.8743 0.3771
2 Mg 0.3756 0.3756 0.8733
3 Mg 0.1257 0.1257 0.6229
4 Mg 0.6244 0.6244 0.1267
5 Zn 0.2492 0.2492 0.2524
6 Zn 0.7508 0.7508 0.7476
7 Zn 0.5000 0.5000 0.5000
8 Ag 0.0000 0.0000 0.0000

---

## Mg3Zn2Ag (PBE-GGA)

Data for a geometry-optimized Mg3Zn2Ag structure.

Output
Energy relative to the elements ... -13.1 kJ/mol of atoms
Magnetization ... 0.00 μB/f.u.
Space group ... Cmmm, No. 65

a b c (Å): 3.2022 4.7891 7.5043
angles (deg): 108.61 90.00 90.00
Fractional coordinates of all 6 atoms:
1 Mg 0.5000 0.5000 0.0000
2 Mg 0.5000 0.8326 0.6652
3 Mg 0.5000 0.1674 0.3348
4 Zn 0.0000 0.3331 0.6661
5 Zn 0.0000 0.6669 0.3339
6 Ag 0.0000 0.0000 0.0000